# 1
DFT (PBE) results for crystalline AcCeSc2 at its relaxed geometry. Values from VASP.

Quantum ESPRESSO input file:
```
&SYSTEM
  ibrav = 0, nat = 4, ntyp = 3
/
ATOMIC_SPECIES
Ac 227.00 Ac.upf
Ce 140.12 Ce.upf
Sc 44.96 Sc.upf
CELL_PARAMETERS angstrom
1.774 1.024 10.982
-1.774 1.024 10.982
0.000 -2.048 10.982
ATOMIC_POSITIONS angstrom
Ac 0.000 0.000 0.000
Ce 0.000 0.000 16.474
Sc 0.000 0.000 8.104
Sc 0.000 0.000 24.843
```

Values from the calculation:
total moment = 0.14 μB/atom
calculated formation energy = 0.16 eV/atom

# 2
DFT (PBE) results for crystalline AcCeSc at its relaxed geometry. Values from VASP.

Quantum ESPRESSO input file:
```
&SYSTEM
  ibrav = 0, nat = 3, ntyp = 3
/
ATOMIC_SPECIES
Ac 227.00 Ac.upf
Ce 140.12 Ce.upf
Sc 44.96 Sc.upf
CELL_PARAMETERS angstrom
-1.836 1.836 7.124
1.836 -1.836 7.124
1.836 1.836 -7.124
ATOMIC_POSITIONS angstrom
Ac 0.000 0.000 0.000
Ce 0.000 0.000 4.619
Sc 0.000 0.000 9.642
```

Values from the calculation:
total moment = 0.12 μB/atom
calculated formation energy = 0.16 eV/atom

# 3
DFT (PBE) results for crystalline Ac3Ce3ScSe8 at its relaxed geometry. Values from VASP.

Quantum ESPRESSO input file:
```
&SYSTEM
  ibrav = 0, nat = 15, ntyp = 4
/
ATOMIC_SPECIES
Ac 227.00 Ac.upf
Ce 140.12 Ce.upf
Sc 44.96 Sc.upf
Se 78.96 Se.upf
CELL_PARAMETERS angstrom
4.259 2.459 7.179
-4.259 2.459 7.179
0.000 -4.918 7.179
ATOMIC_POSITIONS angstrom
Ac -2.130 -1.230 7.179
Ac -2.130 1.230 14.357
Ac 0.000 2.459 7.179
Ce -4.259 0.000 10.768
Ce -2.130 1.230 3.589
Ce 2.130 1.230 3.589
Sc 0.000 0.000 10.768
Se 0.000 0.000 5.269
Se -2.031 -1.173 12.374
Se 0.000 -2.346 9.162
Se -2.032 1.173 9.162
Se 2.031 -1.173 12.374
Se 0.000 2.346 12.374
Se 2.031 1.173 9.162
Se 0.000 0.000 16.267
```

Values from the calculation:
total moment = 0.27 μB/atom
formation energy from raw total energies = -1.821 eV per atom

# 4
DFT (PBE) results for crystalline Ac2CeScSe6 at its relaxed geometry. Values from VASP.

Quantum ESPRESSO input file:
```
&SYSTEM
  ibrav = 0, nat = 10, ntyp = 4
/
ATOMIC_SPECIES
Ac 227.00 Ac.upf
Ce 140.12 Ce.upf
Sc 44.96 Sc.upf
Se 78.96 Se.upf
CELL_PARAMETERS angstrom
3.770 2.177 6.442
-3.770 2.177 6.442
0.000 -4.354 6.442
ATOMIC_POSITIONS angstrom
Ac 0.000 0.000 0.000
Ac 0.000 0.000 9.639
Ce 0.000 0.000 4.079
Sc 0.000 0.000 13.699
Se -1.466 -2.567 8.649
Se -2.130 0.265 11.968
Se -1.490 2.553 8.649
Se 0.836 -1.977 11.968
Se 2.956 0.014 8.649
Se 1.294 1.712 11.968
```

Values from the calculation:
total moment = 0.10 μB/atom
formation energy from raw total energies = -1.833 eV per atom

Number 1: volume 29.93 A^3/atom. Number 2: volume 32.00 A^3/atom. Number 3: volume 30.08 A^3/atom. Number 4: volume 31.73 A^3/atom.